1.
Computed, not measured: ScAs2IrSe after structural relaxation at the PBE level of DFT.

Values from the calculation:
**E**: -23.57 eV for the cell shown
**Crystal system**: tetragonal
**D(E_F)**: 4.4 states/eV/cell
**Raw formation energy**: 0.88 eV/atom

Cell: 4.9819 4.9819 4.9197 Å, 90.00 90.00 90.00°
Closest atoms and distances in Å follow each position.
Sites, in units of the cell vectors:
Sc  0.0000  0.0000  0.0000  2 Se 2.46, 4 As 2.49
As  0.0000  0.5000  0.0000  2 Sc 2.49
As  0.5000  0.0000  0.0000  2 Sc 2.49
Ir  0.5000  0.5000  0.5000  8 As 3.50, 4 Se 3.52
Se  0.0000  0.0000  0.5000  2 Sc 2.46



2.
Computed, not measured: ScAsIrSe2 after structural relaxation at the PBE level of DFT.

Values from the calculation:
**E**: -26.50 eV for the cell shown
**Crystal system**: tetragonal
**D(E_F)**: 3.2 states/eV/cell
**Raw formation energy**: 0.06 eV/atom

Cell: 5.1080 5.1080 4.5515 Å, 90.00 90.00 90.00°
Closest atoms and distances in Å follow each position.
Sites, in units of the cell vectors:
Sc  0.5000  0.5000  0.5000  8 Se 3.42, 4 As 3.61
As  0.0000  0.0000  0.5000  2 Ir 2.28
Ir  0.0000  0.0000  0.0000  2 As 2.28
Se  0.0000  0.5000  0.0000  2 Ir 2.55
Se  0.5000  0.0000  0.0000  2 Ir 2.55



3.
Computed, not measured: ScAs2IrSe after structural relaxation at the PBE level of DFT.

Values from the calculation:
**E**: -27.15 eV for the cell shown
**Crystal system**: tetragonal
**D(E_F)**: 5.5 states/eV/cell
**Raw formation energy**: 0.17 eV/atom

Cell: 4.7057 4.7057 5.2883 Å, 90.00 90.00 90.00°
Closest atoms and distances in Å follow each position.
Sites, in units of the cell vectors:
Sc  0.5000  0.5000  0.5000  4 Se 3.33, 8 As 3.54
As  0.0000  0.5000  0.0000  2 Ir 2.35
As  0.5000  0.0000  0.0000  2 Ir 2.35
Ir  0.0000  0.0000  0.0000  4 As 2.35
Se  0.0000  0.0000  0.5000  2 Ir 2.64



4.
Computed, not measured: ScAsIrSe2 after structural relaxation at the PBE level of DFT.

Values from the calculation:
**E**: -23.13 eV for the cell shown
**Crystal system**: tetragonal
**D(E_F)**: 4.4 states/eV/cell
**Raw formation energy**: 0.74 eV/atom

Cell: 4.9588 4.9588 5.0614 Å, 90.00 90.00 90.00°
Closest atoms and distances in Å follow each position.
Sites, in units of the cell vectors:
Sc  0.0000  0.0000  0.0000  4 Se 2.48, 2 As 2.53
As  0.0000  0.0000  0.5000  2 Sc 2.53
Ir  0.5000  0.5000  0.5000  4 As 3.51, 8 Se 3.54
Se  0.0000  0.5000  0.0000  2 Sc 2.48
Se  0.5000  0.0000  0.0000  2 Sc 2.48